Entry 1:
The following is a DFT calculation (GGA-PBE) of a relaxed structure of Hf2Mn2Be15.

abc: 5.7047 5.7047 5.7047
angles: 84.04 84.04 84.04
Sites, in units of the cell vectors:
Be  0.7150  0.2850  0.0000
Be  0.0000  0.5000  0.0000
Be  0.7150  0.0000  0.2850
Be  0.0000  0.0000  0.5000
Be  0.8474  0.3427  0.3427
Be  0.3427  0.8474  0.3427
Be  0.5000  0.0000  0.0000
Be  0.0000  0.7150  0.2850
Be  0.3427  0.3427  0.8474
Be  0.6573  0.1526  0.6573
Be  0.0000  0.2850  0.7150
Be  0.6573  0.6573  0.1526
Be  0.2850  0.7150  0.0000
Be  0.2850  0.0000  0.7150
Be  0.1526  0.6573  0.6573
Hf  0.3430  0.3430  0.3430
Hf  0.6570  0.6570  0.6570
Mn  0.0970  0.0970  0.0970
Mn  0.9030  0.9030  0.9030

Properties
ΔE_f	-0.23	eV per atom
total magnetization	0.000	μB/f.u.
DFT total energy	-5.180	eV/atom

Entry 2:
The following is a DFT calculation (GGA-PBE) of a relaxed structure of Hf2MnBe9.

abc: 4.5419 4.5419 7.6072
angles: 72.63 72.63 60.00
Site moments in Bohr magnetons follow the coordinates.
Sites, in units of the cell vectors:
Be  0.0773  0.5772  0.7684  -0.03
Be  0.9227  0.4228  0.2316  -0.03
Be  0.6660  0.6660  0.0021  -0.04
Be  0.5000  0.5000  0.5000  0.00
Be  0.5772  0.0773  0.7684  -0.03
Be  0.4228  0.4228  0.2316  -0.03
Be  0.3340  0.3340  0.9979  -0.04
Be  0.4228  0.9227  0.2316  -0.03
Be  0.5772  0.5772  0.7684  -0.03
Hf  0.8615  0.8615  0.4155  -0.15
Hf  0.1385  0.1385  0.5845  -0.15
Mn  0.0000  0.0000  0.0000  1.61

Properties
ΔE_f	-0.03	eV per atom
total magnetization	0.801	μB/f.u.
DFT total energy	-5.251	eV/atom

Entry 3:
The following is a DFT calculation (GGA-PBE) of a relaxed structure of Hf3MnBe.

abc: 4.5660 4.5660 4.5660
angles: 90.00 90.00 90.00
Sites, in units of the cell vectors:
Hf  0.0000  0.0000  0.5000
Hf  0.0000  0.5000  0.0000
Hf  0.5000  0.0000  0.0000
Be  0.0000  0.0000  0.0000
Mn  0.5000  0.5000  0.5000

Properties
ΔE_f	0.78	eV per atom
total magnetization	0.001	μB/f.u.
DFT total energy	-7.775	eV/atom

Look up the ΔE_f of the first one.
-0.23 eV per atom

Please write out number 1 again, unchanged.
The following is a DFT calculation (GGA-PBE) of a relaxed structure of Hf2Mn2Be15.

abc: 5.7047 5.7047 5.7047
angles: 84.04 84.04 84.04
Sites, in units of the cell vectors:
Be  0.7150  0.2850  0.0000
Be  0.0000  0.5000  0.0000
Be  0.7150  0.0000  0.2850
Be  0.0000  0.0000  0.5000
Be  0.8474  0.3427  0.3427
Be  0.3427  0.8474  0.3427
Be  0.5000  0.0000  0.0000
Be  0.0000  0.7150  0.2850
Be  0.3427  0.3427  0.8474
Be  0.6573  0.1526  0.6573
Be  0.0000  0.2850  0.7150
Be  0.6573  0.6573  0.1526
Be  0.2850  0.7150  0.0000
Be  0.2850  0.0000  0.7150
Be  0.1526  0.6573  0.6573
Hf  0.3430  0.3430  0.3430
Hf  0.6570  0.6570  0.6570
Mn  0.0970  0.0970  0.0970
Mn  0.9030  0.9030  0.9030

Properties
ΔE_f	-0.23	eV per atom
total magnetization	0.000	μB/f.u.
DFT total energy	-5.180	eV/atom

Which of these has the highest ΔE_f?
Hf3MnBe

Among the records above, which one has the highest DFT total energy?
Hf2Mn2Be15